VASP calculation (PBE) on a relaxed structure of SrCo2Sn.

## Properties
Symmetry   I4_1/amd, No. 141
DFT formation energy   250 meV/atom
Electronic total energy   -4.724 eV per atom

Cell lengths 4.7585, 4.7585, 9.4521 Å; angles 75.42, 75.42, 90.00 degrees
With the nearest neighbours (Å) after each atom.
Sites, in units of the cell vectors:
Sn: 0.0000 0.0000 0.0000  4 Co 2.51
Sn: 0.7500 0.2500 0.5000  4 Co 2.51
Co: 0.8753 0.6250 0.2500  2 Co 2.38, 2 Sn 2.51
Co: 0.3750 0.1253 0.7500  2 Co 2.38, 2 Sn 2.51
Co: 0.8750 0.1247 0.7500  2 Co 2.38, 2 Sn 2.51
Co: 0.8747 0.1250 0.2500  2 Co 2.38, 2 Sn 2.51
Sr: 0.5000 0.5000 0.0000  4 Sn 3.36, 8 Co 3.46
Sr: 0.2500 0.7500 0.5000  4 Sn 3.36, 8 Co 3.46